A plane-wave DFT calculation with GGA+U was carried out for crystalline K2MnBiF6 at its relaxed geometry.

```
data_K2MnBiF6
_symmetry_space_group_name_H-M 'P 1'
_symmetry_Int_Tables_number 1
_cell_length_a 6.594
_cell_length_b 5.973
_cell_length_c 8.832
_cell_angle_alpha 90.00
_cell_angle_beta 89.29
_cell_angle_gamma 90.00
loop_
_symmetry_equiv_pos_as_xyz
'x,y,z'
loop_
_atom_site_label
_atom_site_type_symbol
_atom_site_fract_x
_atom_site_fract_y
_atom_site_fract_z
Bi1 Bi 0.000 0.500 0.000
Bi2 Bi 0.500 0.000 0.500
F1 F 0.812 0.206 0.501
F2 F 0.421 0.929 0.767
F3 F 0.757 0.718 0.580
F4 F 0.188 0.794 0.499
F5 F 0.243 0.282 0.420
F6 F 0.921 0.571 0.267
F7 F 0.743 0.218 0.920
F8 F 0.579 0.071 0.233
F9 F 0.257 0.782 0.080
F10 F 0.312 0.294 0.001
F11 F 0.688 0.706 0.999
F12 F 0.079 0.429 0.733
Mn1 Mn 0.500 0.000 0.000
Mn2 Mn 0.000 0.500 0.500
K1 K 0.004 0.988 0.739
K2 K 0.496 0.488 0.761
K3 K 0.996 0.012 0.261
K4 K 0.504 0.512 0.239
```

Values from the calculation:
Total DFT energy (no corrections) in eV per atom: -4.938